Sr2AlCl | SCAN | single point on PBEsol structure

Energy, eV per atom: -16.11
ΔE_f (raw), kJ/mol of formula units: -401
Theoretical density, Mg/m³: 3.1
E above lowest polymorph, meV per atom: 0
DOS(E_F), states/eV/f.u.: 1.71

Cell: 3.7535 4.0368 8.5332 Å, 90.10 90.00 90.00°
Fractional coordinates of all 4 atoms:
Sr (0.0000, 0.5007, 0.7282)
Sr (0.0000, 0.4993, 0.2718)
Al (0.5000, 0.0000, 0.5000)
Cl (0.5000, 0.5000, 0.0000)